Version P
First-principles (GGA-PBE) data for crystalline Ta2As2O at its relaxed geometry, as listed in Alexandria via LeMat-Bulk.

abc: 3.6883 3.6883 12.7768
angles: 90.00 90.00 90.00
With the nearest neighbours (Å) after each atom.
Space group I4/mmm (No. 139)
Asymmetric unit:
Ta 0.0000 0.0000 0.1035  4 As 2.63, 1 Ta 2.64, 4 O 2.92
As 0.0000 0.5000 0.2500  4 As 2.61, 4 Ta 2.63
O 0.0000 0.0000 0.5000  8 Ta 2.92

Version Q
First-principles (GGA-PBE) data for crystalline Ta2As2O at its relaxed geometry, as listed in Alexandria via LeMat-Bulk.

abc: 6.5845 6.5845 3.6226
angles: 90.00 90.00 90.00
With the nearest neighbours (Å) after each atom.
Space group P4/mbm (No. 127)
Asymmetric unit:
Ta 0.1584 0.3416 0.0000  2 O 2.48, 6 As 2.58-2.69
As 0.1441 0.6441 0.5000  6 Ta 2.58-2.69, 1 As 2.68
O 0.0000 0.0000 0.0000  4 Ta 2.48

Verdict on stability: version Q comes out on top.

Version P
First-principles (GGA-PBE) data for crystalline TaAs3O at its relaxed geometry, as listed in Alexandria via LeMat-Bulk.

abc: 4.9269 4.9269 4.9269
angles: 90.00 90.00 90.00
With the nearest neighbours (Å) after each atom.
Space group Pm-3m (No. 221)
Asymmetric unit:
Ta 0.0000 0.0000 0.0000  6 As 2.46
As 0.0000 0.0000 0.5000  2 Ta 2.46
O 0.5000 0.5000 0.5000  12 As 3.48

Version Q
First-principles (GGA-PBE) data for crystalline TaAs3O at its relaxed geometry, as listed in Alexandria via LeMat-Bulk.

abc: 4.3175 4.3175 4.3175
angles: 90.00 90.00 90.00
With the nearest neighbours (Å) after each atom.
Space group Pm-3m (No. 221)
Asymmetric unit:
Ta 0.0000 0.0000 0.0000  12 As 3.05
As 0.0000 0.5000 0.5000  2 O 2.16
O 0.5000 0.5000 0.5000  6 As 2.16

Verdict on stability: version Q comes out on top.

Version P
First-principles (GGA-PBE) data for crystalline TcAs3O at its relaxed geometry, as listed in Alexandria via LeMat-Bulk.

abc: 4.7277 4.7277 4.7277
angles: 90.00 90.00 90.00
With the nearest neighbours (Å) after each atom.
Space group Pm-3m (No. 221)
Asymmetric unit:
Tc 0.0000 0.0000 0.0000  6 As 2.36
As 0.0000 0.0000 0.5000  2 Tc 2.36
O 0.5000 0.5000 0.5000  12 As 3.34

Version Q
First-principles (GGA-PBE) data for crystalline TcAs3O at its relaxed geometry, as listed in Alexandria via LeMat-Bulk.

abc: 4.2978 4.2978 4.2978
angles: 90.00 90.00 90.00
With the nearest neighbours (Å) after each atom.
Space group Pm-3m (No. 221)
Asymmetric unit:
Tc 0.0000 0.0000 0.0000  12 As 3.04
As 0.0000 0.5000 0.5000  2 O 2.15
O 0.5000 0.5000 0.5000  6 As 2.15

Verdict on stability: version Q comes out on top.